# MnAsPb2

MnAsPb2 after structural relaxation (GGA-PBE, the Alexandria database).

Results
Energy of formation: 427.2 meV per atom
VASP energy: -4.882 eV per atom
Space-group type: Cmmm

Cell: 3.470 3.470 7.852 Å, 90.00 90.00 90.15°
Fractional positions:
1 As 0.500 0.500 0.250
2 Mn 0.500 0.500 0.750
3 Pb 0.000 0.000 0.984
4 Pb 0.000 0.000 0.516

# MnAs2Pb

MnAs2Pb after structural relaxation (GGA-PBE, the Alexandria database).

Results
Energy of formation: 143.8 meV per atom
VASP energy: -5.400 eV per atom
Space-group type: P4mm

Cell: 3.766 3.768 6.719 Å, 90.00 90.00 90.00°
Fractional positions:
1 As 0.000 0.000 0.970
2 As 0.500 0.500 0.381
3 Mn 0.000 0.000 0.343
4 Pb 0.500 0.500 0.806

# MnAsPb2

MnAsPb2 after structural relaxation (GGA-PBE, the Alexandria database).

Results
Energy of formation: 487.7 meV per atom
VASP energy: -4.821 eV per atom
Space-group type: R-3m

Cell: 9.963 9.963 9.963 Å, 19.54 19.54 19.54°
Fractional positions:
1 As 0.250 0.250 0.250
2 Mn 0.750 0.750 0.750
3 Pb 0.005 0.005 0.005
4 Pb 0.495 0.495 0.495

Total moment values (in μB per formula unit) by entry order: 3.7, 4.0, 4.0.
Energy above the lowest structure with this stoichiometry values (in meV per atom) by entry order: 347, 190, 407.